a.
Material: Sm3Er3Tm
Method: DFT, GGA-PBE
State: relaxed

Computed properties:
As for the density of states at the Fermi level: 62.67 states/eV/cell.

Lattice parameters (Å, degrees): 6.1734 6.1734 42.6411 90.00 90.00 120.00
Space group R-3 (No. 148, hexagonal axes)
Inequivalent atoms, fractional coordinates:
Sm 0.0002 0.3309 0.1313 x18
Er 0.0004 0.3332 0.2686 x18
Tm 0.0000 0.0000 0.3333 x6

b.
Material: Sm3Er3Tm
Method: DFT, GGA-PBE
State: relaxed

Computed properties:
As for the density of states at the Fermi level: 25.98 states/eV/cell.

Lattice parameters (Å, degrees): 9.5508 9.5508 5.6879 90.00 90.00 120.00
Space group P6_3/m (No. 176)
Inequivalent atoms, fractional coordinates:
Sm 0.0484 0.2419 0.2500 x6
Er 0.0950 0.4777 0.7500 x6
Tm 0.3333 0.6667 0.2500 x2

Of them, the most stable is b and the least stable is a.

a.
Material: Sm8ErTm6
Method: DFT, GGA-PBE
State: relaxed

Computed properties:
As for the density of states at the Fermi level: 22.64 states/eV/cell.

Lattice parameters (Å, degrees): 9.3417 9.3417 6.4685 90.00 90.00 120.00
Space group P-3 (No. 147)
Inequivalent atoms, fractional coordinates:
Sm 0.0372 0.2856 0.1681 x6
Sm 0.3333 0.6667 0.1232 x2
Er 0.0000 0.0000 0.5000 x1
Tm 0.0949 0.4396 0.6599 x6

b.
Material: Sm8ErTm6
Method: DFT, GGA-PBE
State: relaxed

Computed properties:
As for the density of states at the Fermi level: 71.07 states/eV/cell.

Lattice parameters (Å, degrees): 9.0155 9.0155 20.7404 90.00 90.00 120.00
Space group R-3 (No. 148, hexagonal axes)
Inequivalent atoms, fractional coordinates:
Sm 0.0000 0.0000 0.0775 x6
Sm 0.0814 0.5238 0.3069 x18
Er 0.0000 0.0000 0.5000 x3
Tm 0.0484 0.8034 0.2055 x18

Of them, the most stable is b and the least stable is a.

a.
Material: Sm2ErTm2
Method: DFT, GGA-PBE
State: relaxed

Computed properties:
As for the density of states at the Fermi level: 27.29 states/eV/cell.

Lattice parameters (Å, degrees): 3.616 5.644 31.346 90.00 90.00 90.00
Space group Imma (No. 74)
Inequivalent atoms, fractional coordinates:
Sm 0.000 0.250 0.023 x4
Sm 0.000 0.250 0.122 x4
Er 0.000 0.250 0.581 x4
Tm 0.000 0.250 0.291 x4
Tm 0.000 0.250 0.803 x4

b.
Material: Sm2ErTm2
Method: DFT, GGA-PBE
State: relaxed

Computed properties:
As for the density of states at the Fermi level: 19.52 states/eV/cell.

Lattice parameters (Å, degrees): 3.5620 3.5620 43.0417 90.00 90.00 120.00
Space group R-3m (No. 166, hexagonal axes)
Inequivalent atoms, fractional coordinates:
Sm 0.0000 0.0000 0.1315 x6
Er 0.0000 0.0000 0.0000 x3
Tm 0.0000 0.0000 0.3983 x6

Of them, the most stable is b and the least stable is a.

a.
Material: Sm3Er5Tm
Method: DFT, GGA-PBE
State: relaxed

Computed properties:
As for the density of states at the Fermi level: 52.78 states/eV/cell.

Lattice parameters (Å, degrees): 18.006 6.310 11.466 90.00 111.94 90.00
Space group C2/c (No. 15)
Inequivalent atoms, fractional coordinates:
Sm 0.000 0.000 0.000 x4
Sm 0.172 0.180 0.374 x8
Er 0.000 0.401 0.250 x4
Er 0.158 0.314 0.011 x8
Er 0.170 0.294 0.717 x8
Tm 0.000 0.118 0.750 x4

b.
Material: Sm3Er5Tm
Method: DFT, GGA-PBE
State: relaxed

Computed properties:
As for the density of states at the Fermi level: 47.98 states/eV/cell.

Lattice parameters (Å, degrees): 15.198 11.264 9.950 90.00 130.60 90.00
Space group C2/m (No. 12)
Inequivalent atoms, fractional coordinates:
Sm 0.000 0.000 0.000 x2
Sm 0.000 0.500 0.500 x2
Sm 0.009 0.000 0.308 x4
Sm 0.024 0.500 0.865 x4
Er 0.000 0.241 0.500 x4
Er 0.158 0.249 0.251 x8
Er 0.217 0.000 0.727 x4
Er 0.221 0.500 0.534 x4
Tm 0.249 0.500 0.896 x4

Of them, the most stable is a and the least stable is b.